Entry 1:
Tl3SnO: optimized geometry, GGA-PBE.

Unit cell a=5.8086 b=5.8086 c=5.8086 alpha=90.00 beta=90.00 gamma=90.00
With the nearest neighbours (Å) after each atom.
Fractional coordinates of all 5 atoms:
Tl1 0.0000 0.0000 0.5000  2 Sn 2.90
Tl2 0.0000 0.5000 0.0000  2 Sn 2.90
Tl3 0.5000 0.0000 0.0000  2 Sn 2.90
Sn1 0.0000 0.0000 0.0000  6 Tl 2.90
O1 0.5000 0.5000 0.5000  12 Tl 4.11

Calculated values
**Raw formation energy**: 0.679 eV/atom
**Magnetic moment**: 0.00 μB/atom
**Space group**: Pm-3m (221)
**Final energy**: -2.533 eV/atom

=====

Entry 2:
Tl2Sn2O7: optimized geometry, GGA-PBE.

Unit cell a=7.4809 b=7.4809 c=7.4809 alpha=60.00 beta=60.00 gamma=60.00
With the nearest neighbours (Å) after each atom.
Fractional coordinates of all 22 atoms:
Tl1 0.0000 0.0000 0.0000  8 O 2.29-2.56
Tl2 0.0000 0.0000 0.5000  8 O 2.29-2.56
Tl3 0.0000 0.5000 0.0000  8 O 2.29-2.56
Tl4 0.5000 0.0000 0.0000  8 O 2.29-2.56
Sn1 0.0000 0.5000 0.5000  6 O 2.08
Sn2 0.5000 0.0000 0.5000  6 O 2.08
Sn3 0.5000 0.5000 0.0000  6 O 2.08
Sn4 0.5000 0.5000 0.5000  6 O 2.08
O1 0.1250 0.1250 0.1250  4 Tl 2.29
O2 0.1646 0.1646 0.5854  2 Sn 2.08
O3 0.1646 0.5854 0.1646  2 Sn 2.08
O4 0.1646 0.5854 0.5854  2 Sn 2.08
O5 0.4146 0.4146 0.8354  2 Sn 2.08
O6 0.4146 0.8354 0.4146  2 Sn 2.08
O7 0.4146 0.8354 0.8354  2 Sn 2.08
O8 0.5854 0.1646 0.1646  2 Sn 2.08
O9 0.5854 0.1646 0.5854  2 Sn 2.08
O10 0.5854 0.5854 0.1646  2 Sn 2.08
O11 0.8354 0.4146 0.4146  2 Sn 2.08
O12 0.8354 0.4146 0.8354  2 Sn 2.08
O13 0.8354 0.8354 0.4146  2 Sn 2.08
O14 0.8750 0.8750 0.8750  4 Tl 2.29

Calculated values
**Raw formation energy**: -1.164 eV/atom
**Magnetic moment**: 0.00 μB/atom
**Space group**: Fd-3m (227)
**Final energy**: -5.477 eV/atom

=====

Entry 3:
Tl2SnO: optimized geometry, GGA-PBE.

Unit cell a=7.1987 b=7.1987 c=7.1987 alpha=90.00 beta=90.00 gamma=90.00
With the nearest neighbours (Å) after each atom.
Fractional coordinates of all 16 atoms:
Tl1 0.2500 0.2500 0.2500  4 O 3.12, 4 Sn 3.12
Tl2 0.2500 0.2500 0.7500  4 O 3.12, 4 Sn 3.12
Tl3 0.2500 0.7500 0.2500  4 O 3.12, 4 Sn 3.12
Tl4 0.2500 0.7500 0.7500  4 O 3.12, 4 Sn 3.12
Tl5 0.7500 0.2500 0.2500  4 O 3.12, 4 Sn 3.12
Tl6 0.7500 0.2500 0.7500  4 O 3.12, 4 Sn 3.12
Tl7 0.7500 0.7500 0.2500  4 O 3.12, 4 Sn 3.12
Tl8 0.7500 0.7500 0.7500  4 O 3.12, 4 Sn 3.12
Sn1 0.0000 0.0000 0.0000  8 Tl 3.12
Sn2 0.0000 0.5000 0.5000  8 Tl 3.12
Sn3 0.5000 0.0000 0.5000  8 Tl 3.12
Sn4 0.5000 0.5000 0.0000  8 Tl 3.12
O1 0.0000 0.0000 0.5000  8 Tl 3.12
O2 0.0000 0.5000 0.0000  8 Tl 3.12
O3 0.5000 0.0000 0.0000  8 Tl 3.12
O4 0.5000 0.5000 0.5000  8 Tl 3.12

Calculated values
**Raw formation energy**: 0.218 eV/atom
**Magnetic moment**: 0.00 μB/atom
**Space group**: Fm-3m (225)
**Final energy**: -3.206 eV/atom